Record 1
Computed, not measured: a geometry-optimized V3ZnFe structure at the PBE level of DFT.

Summary:
The value obtained for the relative energy among the computed polymorphs is 0.8264 eV per atom. For the formation enthalpy at 0 K, the calculation gives 1.514 eV/atom.

```
V3ZnFe
1.0
4.433 0.000 0.000
0.000 4.433 0.000
0.000 0.000 4.433
Zn V Fe
1 3 1
direct
0.000 0.000 0.000
0.000 0.000 0.500
0.500 0.000 0.000
0.000 0.500 0.000
0.500 0.500 0.500
```

Record 2
Computed, not measured: a geometry-optimized MgRh3C structure at the PBE level of DFT.

Summary:
For the formation enthalpy at 0 K, the calculation gives -0.098 eV/atom.

```
MgRh3C
1.0
-10.259 2.523 -15.504
-4.273 -1.455 -7.701
2.456 -2.056 8.332
C Rh Mg
2 6 2
direct
0.082 0.086 0.914
0.918 0.914 0.086
0.944 0.362 0.638
0.433 0.385 0.615
0.804 0.142 0.858
0.196 0.858 0.142
0.056 0.638 0.362
0.567 0.615 0.385
0.318 0.113 0.887
0.682 0.887 0.113
```

Record 3
Computed, not measured: a geometry-optimized K2LiOsO4 structure at the PBE level of DFT.

Summary:
The formation energy (no corrections) is -1.31 eV/atom.

```
K2LiOsO4
1.0
5.323 0.000 0.000
2.661 6.286 0.000
2.661 0.000 9.021
K O Li Os
4 8 2 2
direct
0.924 0.500 0.152
0.826 0.000 0.348
0.576 0.500 0.848
0.174 0.000 0.652
0.880 0.694 0.560
0.615 0.194 0.060
0.324 0.806 0.060
0.191 0.194 0.940
0.426 0.694 0.440
0.135 0.306 0.440
0.559 0.306 0.560
0.870 0.806 0.940
0.750 0.500 0.500
0.000 0.000 0.000
0.500 0.000 0.000
0.250 0.500 0.500
```

Record 4
Computed, not measured: a geometry-optimized Ba5Hg4Au structure at the PBE level of DFT.

Summary:
For the formation enthalpy at 0 K, the calculation gives -0.549 eV/atom.

```
Ba5Hg4Au
1.0
4.147 0.000 0.000
0.000 4.147 0.000
0.000 0.000 21.156
Hg Ba Au
4 5 1
direct
0.000 0.000 0.803
0.000 0.000 0.398
0.000 0.000 0.602
0.000 0.000 0.197
0.500 0.500 0.298
0.500 0.500 0.500
0.500 0.500 0.702
0.500 0.500 0.907
0.500 0.500 0.093
0.000 0.000 0.000
```

Record 5
Computed, not measured: a geometry-optimized KAlMo2 structure at the PBE level of DFT.

Summary:
For the formation enthalpy at 0 K, the calculation gives 0.676 eV/atom.

```
KAlMo2
1.0
-0.166 -3.912 1.116
2.759 -0.412 -1.035
5.596 1.442 5.885
Mo K Al
2 1 1
direct
0.000 0.894 0.104
0.000 0.606 0.396
0.500 0.750 0.750
0.500 0.250 0.250
```

Record 6
Computed, not measured: a geometry-optimized TbHoErN3 structure at the PBE level of DFT.

Summary:
The formation energy (no corrections) is -1.49 eV/atom.

```
TbHoErN3
1.0
3.419 0.000 0.000
0.000 5.940 0.320
0.000 -2.197 8.684
Er N Ho Tb
2 6 2 2
direct
0.750 0.845 0.363
0.250 0.155 0.637
0.750 0.249 0.500
0.250 0.751 0.500
0.750 0.036 0.156
0.250 0.964 0.844
0.750 0.536 0.171
0.250 0.464 0.829
0.750 0.231 0.955
0.250 0.769 0.045
0.250 0.340 0.301
0.750 0.660 0.699
```